[1]
Density functional theory data (PBE) for PrSc2Zn after structural relaxation.

Lattice parameters (Å, degrees): 3.303 3.303 10.945 81.32 81.32 60.00
Positions (direct):
Zn: 0.500 0.500 0.500
Sc: 0.101 0.101 0.696
Sc: 0.899 0.899 0.304
Pr: 0.000 0.000 0.000

Computed properties:
Total DFT energy (no corrections) (eV/atom): -4.5676
ΔE_f (eV per atom): 0.11
Space group: R-3m, No. 166
Offset from the most stable computed form (meV/atom): 259



[2]
Density functional theory data (PBE) for CsTaZnS3 after structural relaxation.

Lattice parameters (Å, degrees): 3.697 8.141 9.928 90.00 90.00 103.07
Each line ends with the local moment (μB).
Positions (direct):
Cs: 0.745 0.487 0.750  0.01
Cs: 0.255 0.513 0.250  0.01
S: 0.609 0.219 0.455  0.02
S: 0.391 0.781 0.545  0.02
S: 0.946 0.894 0.250  0.01
S: 0.391 0.781 0.955  0.02
S: 0.609 0.219 0.045  0.02
S: 0.054 0.106 0.750  0.01
Zn: 0.461 0.920 0.750  0.03
Zn: 0.539 0.080 0.250  0.03
Ta: 0.000 0.000 0.500  0.91
Ta: 0.000 0.000 0.000  0.91

Computed properties:
Total DFT energy (no corrections) (eV/atom): -5.1910
ΔE_f (raw) (meV per atom): -797
Space group: P2_1/m, No. 11



[3]
Density functional theory data (PBE) for Tb4Ge2I5 after structural relaxation.

Lattice parameters (Å, degrees): 4.229 8.488 11.202 112.26 100.88 90.00
Positions (direct):
Ge: 0.442 0.442 0.883
Ge: 0.558 0.558 0.117
Tb: 0.690 0.690 0.380
Tb: 0.000 0.706 0.000
Tb: 0.310 0.310 0.620
Tb: 0.000 0.294 0.000
I: 0.170 0.944 0.341
I: 0.830 0.603 0.659
I: 0.500 0.000 0.000
I: 0.830 0.056 0.659
I: 0.170 0.397 0.341

Computed properties:
Total DFT energy (no corrections) (eV/atom): -4.1680
ΔE_f (raw) (meV per atom): -940
Space group: Immm, No. 71